# 1
Material: LiTbHoRh
Method: DFT, GGA-PBE
State: relaxed

Energy relative to the elements, kJ/mol of atoms: -46.79

Cell and atoms, written as POSCAR:
```
LiTbHoRh
1.0
0.000 3.487 3.487
3.487 0.000 3.487
3.487 3.487 0.000
Li Tb Ho Rh
1 1 1 1
direct
0.000 0.000 0.000 Li
0.250 0.250 0.250 Tb
0.750 0.750 0.750 Ho
0.500 0.500 0.500 Rh
```

***

# 2
Material: LiTb2HoRh4
Method: DFT, GGA-PBE
State: relaxed

Energy relative to the elements, kJ/mol of atoms: -68.31

Cell and atoms, written as POSCAR:
```
LiTb2HoRh4
1.0
2.359 1.362 7.708
-2.359 1.362 7.708
0.000 -2.724 7.708
Li Tb Ho Rh
1 2 1 4
direct
0.000 0.000 0.000 Li
0.258 0.258 0.258 Tb
0.742 0.742 0.742 Tb
0.500 0.500 0.500 Ho
0.124 0.124 0.124 Rh
0.377 0.377 0.377 Rh
0.623 0.623 0.623 Rh
0.876 0.876 0.876 Rh
```

***

# 3
Material: LiHoTiRh
Method: DFT, GGA-PBE
State: relaxed

Energy relative to the elements, kJ/mol of atoms: -29.11

Cell and atoms, written as POSCAR:
```
LiHoTiRh
1.0
0.000 3.298 3.298
3.298 0.000 3.298
3.298 3.298 0.000
Li Ho Ti Rh
1 1 1 1
direct
0.000 0.000 0.000 Li
0.750 0.750 0.750 Ho
0.250 0.250 0.250 Ti
0.500 0.500 0.500 Rh
```

***

# 4
Material: LiHoTlRh
Method: DFT, GGA-PBE
State: relaxed

Energy relative to the elements, kJ/mol of atoms: -39.88

Cell and atoms, written as POSCAR:
```
LiHoTlRh
1.0
0.000 3.380 3.380
3.380 0.000 3.380
3.380 3.380 0.000
Li Ho Tl Rh
1 1 1 1
direct
0.000 0.000 0.000 Li
0.750 0.750 0.750 Ho
0.250 0.250 0.250 Tl
0.500 0.500 0.500 Rh
```

***

# 5
Material: LiHoTmRh
Method: DFT, GGA-PBE
State: relaxed

Energy relative to the elements, kJ/mol of atoms: -50.19

Cell and atoms, written as POSCAR:
```
LiHoTmRh
1.0
0.000 3.454 3.454
3.454 0.000 3.454
3.454 3.454 0.000
Li Ho Tm Rh
1 1 1 1
direct
0.000 0.000 0.000 Li
0.750 0.750 0.750 Ho
0.250 0.250 0.250 Tm
0.500 0.500 0.500 Rh
```

***

# 6
Material: LiHo2TmRh4
Method: DFT, GGA-PBE
State: relaxed

Energy relative to the elements, kJ/mol of atoms: -73.34

Cell and atoms, written as POSCAR:
```
LiHo2TmRh4
1.0
2.340 1.351 7.649
-2.340 1.351 7.649
0.000 -2.702 7.649
Li Ho Tm Rh
1 2 1 4
direct
0.000 0.000 0.000 Li
0.257 0.257 0.257 Ho
0.743 0.743 0.743 Ho
0.500 0.500 0.500 Tm
0.125 0.125 0.125 Rh
0.377 0.377 0.377 Rh
0.623 0.623 0.623 Rh
0.875 0.875 0.875 Rh
```

***

# 7
Material: LiHoTm2Rh4
Method: DFT, GGA-PBE
State: relaxed

Energy relative to the elements, kJ/mol of atoms: -74.89

Cell and atoms, written as POSCAR:
```
LiHoTm2Rh4
1.0
2.331 1.346 7.645
-2.331 1.346 7.645
0.000 -2.691 7.645
Li Ho Tm Rh
1 1 2 4
direct
0.000 0.000 0.000 Li
0.500 0.500 0.500 Ho
0.258 0.258 0.258 Tm
0.742 0.742 0.742 Tm
0.124 0.124 0.124 Rh
0.376 0.376 0.376 Rh
0.624 0.624 0.624 Rh
0.876 0.876 0.876 Rh
```

***

# 8
Material: LiYHoRh
Method: DFT, GGA-PBE
State: relaxed

Energy relative to the elements, kJ/mol of atoms: -47.08

Cell and atoms, written as POSCAR:
```
LiYHoRh
1.0
0.000 3.485 3.485
3.485 0.000 3.485
3.485 3.485 0.000
Li Y Ho Rh
1 1 1 1
direct
0.000 0.000 0.000 Li
0.250 0.250 0.250 Y
0.750 0.750 0.750 Ho
0.500 0.500 0.500 Rh
```

***

# 9
Material: LiYHo2Rh4
Method: DFT, GGA-PBE
State: relaxed

Energy relative to the elements, kJ/mol of atoms: -69.28

Cell and atoms, written as POSCAR:
```
LiYHo2Rh4
1.0
2.349 1.356 7.708
-2.349 1.356 7.708
0.000 -2.712 7.708
Li Y Ho Rh
1 1 2 4
direct
0.000 0.000 0.000 Li
0.500 0.500 0.500 Y
0.258 0.258 0.258 Ho
0.742 0.742 0.742 Ho
0.123 0.123 0.123 Rh
0.376 0.376 0.376 Rh
0.624 0.624 0.624 Rh
0.877 0.877 0.877 Rh
```

***

# 10
Material: LiHoZnRh
Method: DFT, GGA-PBE
State: relaxed

Energy relative to the elements, kJ/mol of atoms: -44.27

Cell and atoms, written as POSCAR:
```
LiHoZnRh
1.0
0.000 3.261 3.261
3.261 0.000 3.261
3.261 3.261 0.000
Li Ho Zn Rh
1 1 1 1
direct
0.000 0.000 0.000 Li
0.250 0.250 0.250 Ho
0.750 0.750 0.750 Zn
0.500 0.500 0.500 Rh
```

***

# 11
Material: LiHoZrRh
Method: DFT, GGA-PBE
State: relaxed

Energy relative to the elements, kJ/mol of atoms: -35.66

Cell and atoms, written as POSCAR:
```
LiHoZrRh
1.0
0.000 3.387 3.387
3.387 0.000 3.387
3.387 3.387 0.000
Li Ho Zr Rh
1 1 1 1
direct
0.000 0.000 0.000 Li
0.250 0.250 0.250 Ho
0.750 0.750 0.750 Zr
0.500 0.500 0.500 Rh
```

***

# 12
Material: LiHo4Ru2
Method: DFT, GGA-PBE
State: relaxed

Energy relative to the elements, kJ/mol of atoms: -19.53

Cell and atoms, written as POSCAR:
```
LiHo4Ru2
1.0
6.803 0.000 0.000
0.299 6.864 0.000
3.199 0.063 7.070
Li Ho Ru
2 8 4
direct
0.000 0.000 0.000 Li
0.471 0.004 0.049 Li
0.059 0.244 0.295 Ho
0.130 0.719 0.281 Ho
0.346 0.702 0.786 Ho
0.400 0.225 0.717 Ho
0.585 0.339 0.242 Ho
0.615 0.807 0.331 Ho
0.862 0.750 0.760 Ho
0.883 0.272 0.761 Ho
0.223 0.999 0.529 Ru
0.229 0.502 0.530 Ru
0.735 0.504 0.516 Ru
0.983 0.508 0.023 Ru
```

***

Which value of energy relative to the elements does entry 6 give?
-73.34 kJ/mol of atoms

***

Look up the energy relative to the elements of the eighth one.
-47.08 kJ/mol of atoms

***

What is the energy relative to the elements in the eighth record?
-47.08 kJ/mol of atoms

***

energy relative to the elements of number 10 (LiHoZnRh)?
-44.27 kJ/mol of atoms